! PBE Sc3Sb3H2, optimized geometry; values from VASP
&SYSTEM
  ibrav = 0, nat = 16, ntyp = 3
/
ATOMIC_SPECIES
Sc 44.96 Sc.upf
Sb 121.76 Sb.upf
H 1.01 H.upf
CELL_PARAMETERS angstrom
1.7476 -5.5879 0.0000
1.7476 5.5879 0.0000
0.0000 0.0000 15.3961
ATOMIC_POSITIONS crystal
Sc 0.1437 0.8563 0.7500
Sc 0.1511 0.8489 0.0496
Sc 0.1511 0.8489 0.4504
Sc 0.8489 0.1511 0.5496
Sc 0.8489 0.1511 0.9504
Sc 0.8563 0.1437 0.2500
Sb 0.1376 0.8624 0.2500
Sb 0.4403 0.5597 0.1050
Sb 0.4403 0.5597 0.3950
Sb 0.5597 0.4403 0.6050
Sb 0.5597 0.4403 0.8950
Sb 0.8624 0.1376 0.7500
H 0.2628 0.7372 0.5537
H 0.2628 0.7372 0.9463
H 0.7372 0.2628 0.0537
H 0.7372 0.2628 0.4463
! Density of states at the Fermi level, states/eV per cell: 7.19
! DFT total energy, hartree per atom: -0.1983
! M_tot, μB/cell: 0.00

***

! PBE Sc12Sb3H5, optimized geometry; values from VASP
&SYSTEM
  ibrav = 0, nat = 80, ntyp = 3
/
ATOMIC_SPECIES
Sc 44.96 Sc.upf
Sb 121.76 Sb.upf
H 1.01 H.upf
CELL_PARAMETERS angstrom
-7.2339 7.2339 7.2339
7.2339 -7.2339 7.2339
7.2339 7.2339 -7.2339
ATOMIC_POSITIONS crystal
Sc 0.0072 0.2017 0.1061
Sc 0.0072 0.3055 0.9012
Sc 0.0956 0.7017 0.6945
Sc 0.0956 0.8939 0.4012
Sc 0.0988 0.6061 0.4044
Sc 0.0988 0.9928 0.6945
Sc 0.1061 0.0072 0.2017
Sc 0.1061 0.5988 0.9044
Sc 0.1945 0.2017 0.5956
Sc 0.1945 0.4928 0.5988
Sc 0.2017 0.1061 0.0072
Sc 0.2017 0.5956 0.1945
Sc 0.2983 0.3055 0.9044
Sc 0.2983 0.4928 0.3939
Sc 0.3055 0.9012 0.0072
Sc 0.3055 0.9044 0.2983
Sc 0.3939 0.2983 0.4928
Sc 0.3939 0.5956 0.9012
Sc 0.4012 0.0956 0.8939
Sc 0.4012 0.8055 0.5072
Sc 0.4044 0.0988 0.6061
Sc 0.4044 0.8055 0.7983
Sc 0.4928 0.3939 0.2983
Sc 0.4928 0.5988 0.1945
Sc 0.5072 0.4012 0.8055
Sc 0.5072 0.6061 0.7017
Sc 0.5956 0.1945 0.2017
Sc 0.5956 0.9012 0.3939
Sc 0.5988 0.1945 0.4928
Sc 0.5988 0.9044 0.1061
Sc 0.6061 0.4044 0.0988
Sc 0.6061 0.7017 0.5072
Sc 0.6945 0.0956 0.7017
Sc 0.6945 0.0988 0.9928
Sc 0.7017 0.5072 0.6061
Sc 0.7017 0.6945 0.0956
Sc 0.7983 0.4044 0.8055
Sc 0.7983 0.8939 0.9928
Sc 0.8055 0.5072 0.4012
Sc 0.8055 0.7983 0.4044
Sc 0.8939 0.4012 0.0956
Sc 0.8939 0.9928 0.7983
Sc 0.9012 0.0072 0.3055
Sc 0.9012 0.3939 0.5956
Sc 0.9044 0.1061 0.5988
Sc 0.9044 0.2983 0.3055
Sc 0.9928 0.6945 0.0988
Sc 0.9928 0.7983 0.8939
Sb 0.1250 0.2500 0.3750
Sb 0.1250 0.3750 0.7500
Sb 0.2500 0.3750 0.1250
Sb 0.2500 0.8750 0.6250
Sb 0.3750 0.1250 0.2500
Sb 0.3750 0.7500 0.1250
Sb 0.6250 0.2500 0.8750
Sb 0.6250 0.8750 0.7500
Sb 0.7500 0.1250 0.3750
Sb 0.7500 0.6250 0.8750
Sb 0.8750 0.6250 0.2500
Sb 0.8750 0.7500 0.6250
H 0.0000 0.0000 0.0000
H 0.0000 0.0000 0.5000
H 0.0000 0.5000 0.0000
H 0.0000 0.5000 0.5000
H 0.1250 0.7500 0.8750
H 0.1250 0.8750 0.2500
H 0.2500 0.1250 0.8750
H 0.2500 0.6250 0.3750
H 0.3750 0.2500 0.6250
H 0.3750 0.6250 0.7500
H 0.5000 0.0000 0.0000
H 0.5000 0.0000 0.5000
H 0.5000 0.5000 0.0000
H 0.5000 0.5000 0.5000
H 0.6250 0.3750 0.2500
H 0.6250 0.7500 0.3750
H 0.7500 0.3750 0.6250
H 0.7500 0.8750 0.1250
H 0.8750 0.1250 0.7500
H 0.8750 0.2500 0.1250
! Density of states at the Fermi level, states/eV per cell: 70.38
! DFT total energy, hartree per atom: -0.2080
! M_tot, μB/cell: 0.00

***

! PBE Sc6Sb5H, optimized geometry; values from VASP
&SYSTEM
  ibrav = 0, nat = 12, ntyp = 3
/
ATOMIC_SPECIES
Sc 44.96 Sc.upf
Sb 121.76 Sb.upf
H 1.01 H.upf
CELL_PARAMETERS angstrom
3.5489 -6.1117 0.0000
3.5489 6.1117 0.0000
-2.3752 0.0000 6.7023
ATOMIC_POSITIONS crystal
Sc 0.0812 0.4121 0.2454
Sc 0.2481 0.2481 0.7427
Sc 0.4121 0.0812 0.2454
Sc 0.5879 0.9188 0.7546
Sc 0.7519 0.7519 0.2573
Sc 0.9188 0.5879 0.7546
Sb 0.1698 0.8302 0.5000
Sb 0.3347 0.6653 0.0000
Sb 0.5000 0.5000 0.5000
Sb 0.6653 0.3347 0.0000
Sb 0.8302 0.1698 0.5000
H 0.0000 0.0000 0.0000
! Density of states at the Fermi level, states/eV per cell: 4.96
! DFT total energy, hartree per atom: -0.2164
! M_tot, μB/cell: 0.00

***

! PBE Sc2SbH, optimized geometry; values from VASP
&SYSTEM
  ibrav = 0, nat = 16, ntyp = 3
/
ATOMIC_SPECIES
Sc 44.96 Sc.upf
Sb 121.76 Sb.upf
H 1.01 H.upf
CELL_PARAMETERS angstrom
7.0643 0.0000 0.0000
0.0000 5.9175 0.0000
-1.1025 0.0000 6.9817
ATOMIC_POSITIONS crystal
Sc 0.0410 0.1247 0.3176
Sc 0.0410 0.3753 0.8176
Sc 0.3196 0.6540 0.5157
Sc 0.3196 0.8460 0.0157
Sc 0.6804 0.1540 0.9843
Sc 0.6804 0.3460 0.4843
Sc 0.9590 0.6247 0.1824
Sc 0.9590 0.8753 0.6824
Sb 0.3364 0.1300 0.6636
Sb 0.3364 0.3700 0.1636
Sb 0.6636 0.6300 0.8364
Sb 0.6636 0.8700 0.3364
H 0.1854 0.6651 0.7638
H 0.1854 0.8349 0.2638
H 0.8146 0.1651 0.7362
H 0.8146 0.3349 0.2362
! Density of states at the Fermi level, states/eV per cell: 10.49
! Energy above the lowest structure with this stoichiometry, meV/atom: 0
! M_tot, μB/cell: 0.00

***

! PBE ScSbH, optimized geometry; values from VASP
&SYSTEM
  ibrav = 0, nat = 3, ntyp = 3
/
ATOMIC_SPECIES
Sc 44.96 Sc.upf
Sb 121.76 Sb.upf
H 1.01 H.upf
CELL_PARAMETERS angstrom
3.5242 0.0000 0.0000
-1.7621 3.0521 0.0000
0.0000 0.0000 4.5224
ATOMIC_POSITIONS crystal
Sc 0.0000 0.0000 0.0000
Sb 0.6667 0.3333 0.5000
H 0.3333 0.6667 0.0000
! Density of states at the Fermi level, states/eV per cell: 1.49
! Energy above the lowest structure with this stoichiometry, meV/atom: 0
! M_tot, μB/cell: 0.00

***

! PBE Sc3SbH2, optimized geometry; values from VASP
&SYSTEM
  ibrav = 0, nat = 12, ntyp = 3
/
ATOMIC_SPECIES
Sc 44.96 Sc.upf
Sb 121.76 Sb.upf
H 1.01 H.upf
CELL_PARAMETERS angstrom
10.1430 -1.8477 0.0000
10.1430 1.8477 0.0000
-1.2976 0.0000 5.5484
ATOMIC_POSITIONS crystal
Sc 0.0392 0.0392 0.2715
Sc 0.2296 0.2296 0.2075
Sc 0.3992 0.3992 0.1341
Sc 0.6008 0.6008 0.8659
Sc 0.7704 0.7704 0.7925
Sc 0.9608 0.9608 0.7285
Sb 0.3509 0.3509 0.5799
Sb 0.6491 0.6491 0.4201
H 0.0595 0.0595 0.9249
H 0.2934 0.2934 0.9853
H 0.7066 0.7066 0.0147
H 0.9405 0.9405 0.0751
! Density of states at the Fermi level, states/eV per cell: 9.51
! DFT total energy, hartree per atom: -0.2030
! M_tot, μB/cell: 0.02